(a)
The following is a PBE calculation of a relaxed structure of CeHfGa, from the Alexandria database.

Properties
Magnetization (Bohr magnetons per cell): 0.06
ρ (kg/m3): 9286
Volume (Å³/f.u.): 69.44

Lattice parameters (Å, degrees): 8.0728 8.0728 8.0728 33.00 33.00 33.00
With the nearest neighbours (Å) after each atom.
Sites, in units of the cell vectors:
Ce 0.1397 0.1397 0.1397  3 Ce 2.92, 3 Ga 2.97
Ce 0.8603 0.8603 0.8603  3 Ce 2.92, 3 Ga 2.97
Hf 0.2928 0.2928 0.2928  4 Ga 2.77-2.80
Hf 0.7072 0.7072 0.7072  4 Ga 2.77-2.80
Ga 0.4138 0.4138 0.4138  4 Hf 2.77-2.80, 3 Ce 2.97
Ga 0.5862 0.5862 0.5862  4 Hf 2.77-2.80, 3 Ce 2.97

---

(b)
The following is a PBE calculation of a relaxed structure of CeHfGa, from the Alexandria database.

Properties
Magnetization (Bohr magnetons per cell): 0.48
ρ (kg/m3): 9343
Volume (Å³/f.u.): 69.02

Lattice parameters (Å, degrees): 4.9226 4.9226 3.2887 90.00 90.00 120.00
With the nearest neighbours (Å) after each atom.
Sites, in units of the cell vectors:
Ce 0.0000 0.0000 0.0000  6 Ga 3.28-3.29, 6 Hf 3.28-3.29, 2 Ce 3.29
Hf 0.3333 0.6667 0.4986  3 Ga 2.84
Ga 0.6667 0.3333 0.5031  3 Hf 2.84

---

Which is the most stable structure? (a) is the most stable.

---

(a)
The following is a PBE calculation of a relaxed structure of Ce2GaHg3, from the Alexandria database.

Properties
Magnetization (Bohr magnetons per cell): 2.65
ρ (kg/m3): 10063
Volume (Å³/f.u.): 157.05

Lattice parameters (Å, degrees): 9.2679 9.2679 9.2679 157.36 149.12 38.63
With the nearest neighbours (Å) after each atom.
Sites, in units of the cell vectors:
Ce 0.0000 0.0000 0.0000  4 Ga 3.23, 6 Hg 3.48-3.52
Ce 0.7602 0.2602 0.5000  10 Hg 3.34-3.43, 2 Ce 3.64
Ga 0.4426 0.4426 0.0000  3 Hg 2.61-2.65
Hg 0.1719 0.6719 0.5000  3 Hg 2.82-2.86
Hg 0.3357 0.8357 0.5000  2 Ga 2.61, 1 Hg 2.86
Hg 0.5943 0.5943 0.0000  1 Ga 2.65, 2 Hg 2.82

---

(b)
The following is a PBE calculation of a relaxed structure of Ce2GaHg3, from the Alexandria database.

Properties
Magnetization (Bohr magnetons per cell): 2.44
ρ (kg/m3): 10706
Volume (Å³/f.u.): 147.61

Lattice parameters (Å, degrees): 3.4967 4.9366 8.5513 90.00 90.00 90.00
With the nearest neighbours (Å) after each atom.
Sites, in units of the cell vectors:
Ce 0.0000 0.0000 0.0000  2 Ga 3.29, 10 Hg 3.34-3.45, 2 Ce 3.50
Ce 0.0000 0.5000 0.4867  8 Hg 3.25-3.39, 4 Ga 3.32, 2 Ce 3.50
Ga 0.5000 0.0000 0.3266  3 Hg 2.78-2.83
Hg 0.5000 0.0000 0.6515  1 Ga 2.78, 2 Hg 2.88
Hg 0.5000 0.5000 0.1657  2 Ga 2.83, 1 Hg 2.90
Hg 0.5000 0.5000 0.8261  3 Hg 2.88-2.90

---

Which is the most stable structure? (b) is the most stable.